Record 1
Here is PIrPt2 at its PBEsol-relaxed geometry from Alexandria. Energies are from meta-GGA SCAN.

Geometry as POSCAR:
```
PIrPt2
1.0
4.931 0.000 0.000
0.000 4.931 0.000
-2.466 -2.466 6.338
Pt P Ir
4 2 2
Direct
0.625 0.584 0.750
0.416 0.875 0.250
0.125 0.166 0.750
0.834 0.375 0.250
0.750 0.250 0.500
0.500 0.500 0.000
0.250 0.750 0.500
0.000 0.000 0.000
```

---

Record 2
Here is PIr2Pt at its PBEsol-relaxed geometry from Alexandria. Energies are from meta-GGA SCAN.

Geometry as POSCAR:
```
PIr2Pt
1.0
2.809 0.000 0.000
1.405 2.433 0.000
1.405 0.811 8.118
Pt P Ir
1 1 2
Direct
0.000 0.000 0.000
0.500 0.500 0.500
0.238 0.238 0.287
0.762 0.762 0.713
```

---

Record 3
Here is PIr2Pt at its PBEsol-relaxed geometry from Alexandria. Energies are from meta-GGA SCAN.

Geometry as POSCAR:
```
PIr2Pt
1.0
-1.997 0.195 -2.006
-0.674 -4.485 0.236
-2.836 1.884 3.006
P Ir Pt
1 2 1
Direct
0.500 0.000 0.000
0.000 0.000 0.500
0.000 0.500 0.000
0.500 0.500 0.500
```

---

Record 4
Here is Sc2PIrPt at its PBEsol-relaxed geometry from Alexandria. Energies are from meta-GGA SCAN.

Geometry as POSCAR:
```
Sc2PIrPt
1.0
4.763 0.000 0.000
0.000 4.861 0.000
0.000 0.000 4.861
Ir Sc P Pt
1 2 1 1
Direct
0.000 0.000 0.000
0.000 0.500 0.000
0.000 0.000 0.500
0.500 0.500 0.500
0.500 0.000 0.000
```

---

Record 5
Here is ReP2Ir at its PBEsol-relaxed geometry from Alexandria. Energies are from meta-GGA SCAN.

Geometry as POSCAR:
```
ReP2Ir
1.0
-1.900 -1.408 1.628
3.802 -0.770 1.241
-1.050 4.217 2.422
P Re Ir
2 1 1
Direct
0.747 0.494 0.736
0.253 0.506 0.264
0.000 0.000 0.500
0.500 0.000 0.000
```

---

Record 6
Here is Re4PIr at its PBEsol-relaxed geometry from Alexandria. Energies are from meta-GGA SCAN.

Geometry as POSCAR:
```
Re4PIr
1.0
5.104 0.000 0.000
2.552 4.420 0.000
2.552 1.473 4.167
Re Ir P
4 1 1
Direct
0.874 0.375 0.375
0.375 0.375 0.874
0.375 0.874 0.375
0.375 0.375 0.375
0.750 0.750 0.750
0.000 0.000 0.000
```

---

Record 7
Here is Re2PIr at its PBEsol-relaxed geometry from Alexandria. Energies are from meta-GGA SCAN.

Geometry as POSCAR:
```
Re2PIr
1.0
2.784 0.034 0.053
-0.060 4.715 -0.020
-0.060 -1.987 4.275
Re P Ir
2 1 1
Direct
0.000 0.000 0.500
0.000 0.500 0.000
0.500 0.000 0.000
0.500 0.500 0.500
```

---

Record 8
Here is Re2PIr at its PBEsol-relaxed geometry from Alexandria. Energies are from meta-GGA SCAN.

Geometry as POSCAR:
```
Re2PIr
1.0
-2.001 -1.808 -0.757
2.617 -1.541 -3.236
2.642 -2.184 3.410
Ir Re P
1 2 1
Direct
0.537 0.470 0.074
0.976 0.975 0.951
0.261 0.238 0.522
0.726 0.817 0.453
```

---

Record 9
Here is Re2PIr at its PBEsol-relaxed geometry from Alexandria. Energies are from meta-GGA SCAN.

Geometry as POSCAR:
```
Re2PIr
1.0
2.834 0.000 0.000
0.000 2.834 0.000
0.000 0.000 6.763
Ir Re P
1 2 1
Direct
0.000 0.000 0.530
0.500 0.500 0.242
0.000 0.000 0.967
0.500 0.500 0.761
```

---

Record 10
Here is PIr2Rh at its PBEsol-relaxed geometry from Alexandria. Energies are from meta-GGA SCAN.

Geometry as POSCAR:
```
PIr2Rh
1.0
2.704 0.000 0.000
0.000 4.513 0.000
0.000 0.000 4.523
P Ir Rh
1 2 1
Direct
0.500 0.500 0.000
0.000 0.000 0.000
0.500 0.000 0.500
0.000 0.500 0.500
```

---

Record 11
Here is P2IrRh at its PBEsol-relaxed geometry from Alexandria. Energies are from meta-GGA SCAN.

Geometry as POSCAR:
```
P2IrRh
1.0
-3.448 -0.697 -1.346
1.436 -0.061 -3.649
0.599 -3.953 0.512
Rh P Ir
1 2 1
Direct
0.500 0.000 0.000
0.000 0.318 0.189
0.000 0.682 0.811
0.500 0.500 0.500
```

---

Record 12
Here is P2IrRh at its PBEsol-relaxed geometry from Alexandria. Energies are from meta-GGA SCAN.

Geometry as POSCAR:
```
P2IrRh
1.0
-1.424 -2.157 -0.969
1.778 0.439 -3.589
3.603 -3.015 1.417
Rh P Ir
1 2 1
Direct
0.500 0.500 0.000
0.500 0.000 0.500
0.000 0.000 0.000
0.000 0.500 0.500
```

---

Values of formation energy from the elements, in order: 301, -99, 206, 60, -8, 953, 389, 55, -70, 213, -276, 270, all in meV/atom.